*P*
DFT (PBE) results for a relaxed Dy2HoHg crystal.

Calculated values
- M_tot: 0.023 μB per formula unit
- Symmetry: Amm2

a b c (Å): 5.4172 6.6941 6.6941
angles (deg): 66.19 90.00 90.00
Closest atoms and distances in Å follow each position.
Atoms (fractional coordinates):
Dy 0.0000 0.1515 0.1515  4 Hg 3.31-3.39, 4 Dy 3.32, 4 Ho 3.51-3.66
Dy 0.5000 0.8459 0.3407  5 Dy 3.28-3.62, 4 Ho 3.29-3.41, 2 Hg 3.43
Dy 0.5000 0.3407 0.8459  5 Dy 3.28-3.62, 4 Ho 3.29-3.41, 2 Hg 3.43
Dy 0.5000 0.8496 0.8496  4 Dy 3.28-3.42, 4 Hg 3.33, 4 Ho 3.52-3.66
Hg 0.0000 0.6550 0.1569  4 Ho 3.28-3.41, 6 Dy 3.31-3.43, 2 Hg 3.64-3.67
Hg 0.0000 0.1569 0.6550  4 Ho 3.28-3.41, 6 Dy 3.31-3.43, 2 Hg 3.64-3.67
Ho 0.5000 0.3509 0.3509  8 Dy 3.29-3.66, 4 Hg 3.32
Ho 0.0000 0.6495 0.6495  4 Hg 3.28-3.41, 8 Dy 3.34-3.66

*Q*
DFT (PBE) results for a relaxed Dy2HoHg crystal.

Calculated values
- M_tot: 0.018 μB per formula unit
- Symmetry: Ama2

a b c (Å): 5.1075 6.7204 6.7204
angles (deg): 104.15 90.00 90.00
Closest atoms and distances in Å follow each position.
Atoms (fractional coordinates):
Dy 0.2500 0.8449 0.0725  4 Hg 3.15-3.52, 6 Dy 3.38-3.51, 1 Ho 3.45
Dy 0.2500 0.3608 0.1402  4 Ho 3.38-3.51, 6 Dy 3.38-3.51, 2 Hg 3.42
Dy 0.7500 0.1402 0.3608  4 Ho 3.38-3.51, 6 Dy 3.38-3.51, 2 Hg 3.42
Dy 0.7500 0.0725 0.8449  4 Hg 3.15-3.52, 6 Dy 3.38-3.51, 1 Ho 3.45
Hg 0.2500 0.9252 0.5736  4 Ho 3.15-3.51, 6 Dy 3.15-3.52
Hg 0.7500 0.5736 0.9252  4 Ho 3.15-3.51, 6 Dy 3.15-3.52
Ho 0.7500 0.6546 0.4281  4 Hg 3.15-3.51, 5 Dy 3.38-3.51, 2 Ho 3.51
Ho 0.2500 0.4281 0.6546  4 Hg 3.15-3.51, 5 Dy 3.38-3.51, 2 Ho 3.51

Q: Which of them is the least stable? A: *P*.

*P*
DFT (PBE) results for a relaxed DyHgMo crystal.

Calculated values
- M_tot: 3.092 μB per formula unit
- Symmetry: F-43m

a b c (Å): 4.8366 4.8366 4.8366
angles (deg): 60.00 60.00 60.00
Closest atoms and distances in Å follow each position.
Atoms (fractional coordinates):
Dy 0.0000 0.0000 0.0000  4 Mo 2.96, 4 Hg 2.96
Hg 0.2500 0.2500 0.2500  4 Dy 2.96
Mo 0.7500 0.7500 0.7500  4 Dy 2.96

*Q*
DFT (PBE) results for a relaxed DyHgMo crystal.

Calculated values
- M_tot: 2.377 μB per formula unit
- Symmetry: F-43m

a b c (Å): 4.7764 4.7764 4.7764
angles (deg): 60.00 60.00 60.00
Closest atoms and distances in Å follow each position.
Atoms (fractional coordinates):
Dy 0.2500 0.2500 0.2500  4 Hg 2.92
Hg 0.0000 0.0000 0.0000  4 Mo 2.92, 4 Dy 2.92
Mo 0.7500 0.7500 0.7500  4 Hg 2.92

Q: Which of them is the least stable? A: *P*.

*P*
DFT (PBE) results for a relaxed NaDyHgTe3 crystal.

Calculated values
- M_tot: 0.010 μB per formula unit
- Symmetry: P2_1/m

a b c (Å): 8.6692 4.4101 10.6162
angles (deg): 90.00 104.49 90.00
Closest atoms and distances in Å follow each position.
Atoms (fractional coordinates):
Dy 0.6753 0.2500 0.1473  6 Te 3.07-3.25
Dy 0.3247 0.7500 0.8527  6 Te 3.07-3.25
Hg 0.9092 0.7500 0.3921  4 Te 2.79-3.12
Hg 0.0908 0.2500 0.6079  4 Te 2.79-3.12
Na 0.2189 0.2500 0.2546  4 Te 3.23-3.36
Na 0.7811 0.7500 0.7454  4 Te 3.23-3.36
Te 0.9271 0.7500 0.1333  1 Hg 2.79
Te 0.4307 0.7500 0.1519  3 Dy 3.07-3.08, 2 Na 3.23
Te 0.7311 0.2500 0.4616  3 Hg 2.89-3.12
Te 0.2689 0.7500 0.5384  3 Hg 2.89-3.12
Te 0.5693 0.2500 0.8481  3 Dy 3.07-3.08, 2 Na 3.23
Te 0.0729 0.2500 0.8667  1 Hg 2.79

*Q*
DFT (PBE) results for a relaxed NaDyHgTe3 crystal.

Calculated values
- M_tot: 0.006 μB per formula unit
- Symmetry: C2/m

a b c (Å): 10.4241 10.4241 9.1656
angles (deg): 102.22 102.22 23.94
Closest atoms and distances in Å follow each position.
Atoms (fractional coordinates):
Dy 0.1770 0.1770 0.0894  5 Te 3.03-3.10
Dy 0.8230 0.8230 0.9106  5 Te 3.03-3.10
Hg 0.5434 0.5434 0.2246  4 Te 2.84-2.98
Hg 0.4566 0.4566 0.7754  4 Te 2.84-2.98
Na 0.8757 0.8757 0.4203  6 Te 3.29-3.53
Na 0.1243 0.1243 0.5797  6 Te 3.29-3.53
Te 0.0000 0.0000 0.0000  4 Hg 2.98
Te 0.3290 0.3290 0.1471  3 Dy 3.03-3.05, 2 Na 3.29
Te 0.6848 0.6848 0.3346  1 Hg 2.84, 2 Dy 3.10
Te 0.5000 0.5000 0.5000  2 Hg 2.85
Te 0.3152 0.3152 0.6654  1 Hg 2.84, 2 Dy 3.10
Te 0.6710 0.6710 0.8529  3 Dy 3.03-3.05, 2 Na 3.29

Q: Which of them is the least stable? A: *Q*.

*P*
DFT (PBE) results for a relaxed NaDyHgTe3 crystal.

Calculated values
- M_tot: 0.000 μB per formula unit
- Symmetry: Pnma

a b c (Å): 8.9494 4.4973 18.4970
angles (deg): 90.00 90.00 90.00
Closest atoms and distances in Å follow each position.
Atoms (fractional coordinates):
Dy 0.2788 0.2500 0.0379  7 Te 3.07-3.36
Dy 0.7788 0.2500 0.4621  7 Te 3.07-3.36
Dy 0.2213 0.7500 0.5379  7 Te 3.07-3.36
Dy 0.7213 0.7500 0.9621  7 Te 3.07-3.36
Hg 0.9569 0.2500 0.1670  4 Te 2.79-3.02
Hg 0.4569 0.2500 0.3330  4 Te 2.79-3.02
Hg 0.5431 0.7500 0.6670  4 Te 2.79-3.02
Hg 0.0431 0.7500 0.8330  4 Te 2.79-3.02
Na 0.5735 0.7500 0.1960  6 Te 3.34-3.44, 2 Hg 3.55
Na 0.0735 0.7500 0.3040  6 Te 3.34-3.44, 2 Hg 3.55
Na 0.9265 0.2500 0.6960  6 Te 3.34-3.44, 2 Hg 3.55
Na 0.4265 0.2500 0.8040  6 Te 3.34-3.44, 2 Hg 3.55
Te 0.6243 0.2500 0.0649  3 Dy 3.07-3.13, 2 Na 3.34
Te 0.0089 0.7500 0.0720  2 Hg 2.89
Te 0.2839 0.2500 0.2074  2 Hg 2.79-3.02
Te 0.7839 0.2500 0.2926  2 Hg 2.79-3.02
Te 0.5089 0.7500 0.4280  2 Hg 2.89
Te 0.1243 0.2500 0.4351  3 Dy 3.07-3.13, 2 Na 3.34
Te 0.8757 0.7500 0.5649  3 Dy 3.07-3.13, 2 Na 3.34
Te 0.4911 0.2500 0.5720  2 Hg 2.89
Te 0.2161 0.7500 0.7074  2 Hg 2.79-3.02
Te 0.7161 0.7500 0.7926  2 Hg 2.79-3.02
Te 0.9911 0.2500 0.9280  2 Hg 2.89
Te 0.3757 0.7500 0.9351  3 Dy 3.07-3.13, 2 Na 3.34

*Q*
DFT (PBE) results for a relaxed NaDyHgTe3 crystal.

Calculated values
- M_tot: 0.004 μB per formula unit
- Symmetry: Pnma

a b c (Å): 11.6929 4.3852 14.8803
angles (deg): 90.00 90.00 90.00
Closest atoms and distances in Å follow each position.
Atoms (fractional coordinates):
Dy 0.0125 0.7500 0.2459  6 Te 3.11-3.26
Dy 0.5125 0.7500 0.2541  6 Te 3.11-3.26
Dy 0.4875 0.2500 0.7459  6 Te 3.11-3.26
Dy 0.9875 0.2500 0.7541  6 Te 3.11-3.26
Hg 0.2590 0.2500 0.2183  4 Te 2.81-2.88
Hg 0.7590 0.2500 0.2817  4 Te 2.81-2.88
Hg 0.2410 0.7500 0.7183  4 Te 2.81-2.88
Hg 0.7410 0.7500 0.7817  4 Te 2.81-2.88
Na 0.2704 0.7500 0.0223  7 Te 3.39-3.74, 2 Hg 3.65
Na 0.7704 0.7500 0.4777  7 Te 3.39-3.74, 2 Hg 3.65
Na 0.2296 0.2500 0.5223  7 Te 3.39-3.74, 2 Hg 3.65
Na 0.7296 0.2500 0.9777  7 Te 3.39-3.74, 2 Hg 3.65
Te 0.0671 0.2500 0.1043  1 Hg 2.81, 2 Dy 3.11
Te 0.4595 0.2500 0.1120  1 Hg 2.83, 2 Dy 3.11
Te 0.7623 0.7500 0.1563  2 Hg 2.88, 1 Dy 3.22
Te 0.2623 0.7500 0.3437  2 Hg 2.88, 1 Dy 3.22
Te 0.9595 0.2500 0.3880  1 Hg 2.83, 2 Dy 3.11
Te 0.5671 0.2500 0.3957  1 Hg 2.81, 2 Dy 3.11
Te 0.4329 0.7500 0.6043  1 Hg 2.81, 2 Dy 3.11
Te 0.0405 0.7500 0.6120  1 Hg 2.83, 2 Dy 3.11
Te 0.7377 0.2500 0.6563  2 Hg 2.88, 1 Dy 3.22
Te 0.2377 0.2500 0.8437  2 Hg 2.88, 1 Dy 3.22
Te 0.5405 0.7500 0.8880  1 Hg 2.83, 2 Dy 3.11
Te 0.9329 0.7500 0.8957  1 Hg 2.81, 2 Dy 3.11

Q: Which of them is the least stable? A: *P*.

*P*
DFT (PBE) results for a relaxed DyHgSeO crystal.

Calculated values
- M_tot: 0.000 μB per formula unit
- Symmetry: P2_1/c

a b c (Å): 7.5385 7.0673 6.8627
angles (deg): 90.00 91.20 90.00
Closest atoms and distances in Å follow each position.
Atoms (fractional coordinates):
Dy 0.5515 0.6433 0.1908  3 O 2.15-2.19
Dy 0.4485 0.1433 0.3092  3 O 2.15-2.19
Dy 0.5515 0.8567 0.6908  3 O 2.15-2.19
Dy 0.4485 0.3567 0.8092  3 O 2.15-2.19
Hg 0.9843 0.6905 0.0079  1 Se 2.67, 1 Hg 2.71
Hg 0.0157 0.1905 0.4921  1 Se 2.67, 1 Hg 2.71
Hg 0.9843 0.8095 0.5079  1 Se 2.67, 1 Hg 2.71
Hg 0.0157 0.3095 0.9921  1 Se 2.67, 1 Hg 2.71
O 0.5510 0.3450 0.1060  3 Dy 2.15-2.19
O 0.4490 0.8450 0.3940  3 Dy 2.15-2.19
O 0.5510 0.1550 0.6060  3 Dy 2.15-2.19
O 0.4490 0.6550 0.8940  3 Dy 2.15-2.19
Se 0.7626 0.9807 0.0524  1 Hg 2.67
Se 0.2374 0.4807 0.4476  1 Hg 2.67
Se 0.7626 0.5193 0.5524  1 Hg 2.67
Se 0.2374 0.0193 0.9476  1 Hg 2.67

*Q*
DFT (PBE) results for a relaxed DyHgSeO crystal.

Calculated values
- M_tot: 0.001 μB per formula unit
- Symmetry: P2_1

a b c (Å): 5.6679 5.6727 11.6518
angles (deg): 90.00 91.32 90.00
Closest atoms and distances in Å follow each position.
Atoms (fractional coordinates):
Dy 0.5034 0.3252 0.0900  4 O 2.26-2.28
Dy 0.0037 0.8256 0.0921  4 O 2.25-2.28
Dy 0.9963 0.3256 0.9079  4 O 2.25-2.28
Dy 0.4966 0.8252 0.9100  4 O 2.26-2.28
Hg 0.0056 0.3419 0.3099  2 Se 2.51-2.52
Hg 0.7149 0.0823 0.4949  2 Hg 3.06-3.11, 1 Se 3.36
Hg 0.2851 0.5823 0.5051  2 Hg 3.06-3.11, 1 Se 3.36
Hg 0.9944 0.8419 0.6901  2 Se 2.51-2.52
O 0.7501 0.0746 0.0000  4 Dy 2.26-2.28
O 0.2499 0.5746 0.0000  4 Dy 2.26-2.28
O 0.2452 0.0740 0.0004  4 Dy 2.25-2.28
O 0.7548 0.5740 0.9996  4 Dy 2.25-2.28
Se 0.6880 0.6455 0.2754  1 Hg 2.52
Se 0.3129 0.0308 0.2795  1 Hg 2.51
Se 0.6871 0.5308 0.7205  1 Hg 2.51
Se 0.3120 0.1455 0.7246  1 Hg 2.52

Q: Which of them is the least stable? A: *P*.